Record 1
# AlCuP2 (GGA-PBE, optimized geometry)
data_AlCuP2
_chemical_formula_sum 'Al2 Cu2 P4'
_cell_length_a 5.3319
_cell_length_b 5.3319
_cell_length_c 6.6036
_cell_angle_alpha 66.19
_cell_angle_beta 66.19
_cell_angle_gamma 90.00
_symmetry_space_group_name_H-M 'P 1'
_symmetry_Int_Tables_number 1
loop_
_symmetry_equiv_pos_as_xyz
'x,y,z'
loop_
_atom_site_label
_atom_site_fract_x
_atom_site_fract_y
_atom_site_fract_z
Cu1 0.0000 0.0000 0.0000
Cu2 0.7500 0.2500 0.5000
P1 0.6436 0.1250 0.2500
P2 0.1064 0.6250 0.2500
P3 0.3750 0.3564 0.7500
P4 0.8750 0.8936 0.7500
Al1 0.2500 0.7500 0.5000
Al2 0.5000 0.5000 0.0000
# - total energy (Ha/atom) = -0.174
# - calculated formation energy (eV per atom) = -0.078
# - total moment (μB per formula unit) = 0.0
# - calculated volume (Å³/cell) = 154

***

Record 2
# CeY3Se4 (GGA-PBE, optimized geometry)
data_CeY3Se4
_chemical_formula_sum 'Ce2 Y6 Se8'
_cell_length_a 7.1268
_cell_length_b 7.1642
_cell_length_c 8.1952
_cell_angle_alpha 90.00
_cell_angle_beta 90.00
_cell_angle_gamma 109.32
_symmetry_space_group_name_H-M 'P 1'
_symmetry_Int_Tables_number 1
loop_
_symmetry_equiv_pos_as_xyz
'x,y,z'
loop_
_atom_site_label
_atom_site_fract_x
_atom_site_fract_y
_atom_site_fract_z
Se1 0.4995 0.7420 0.1286
Se2 0.5030 0.2523 0.3791
Se3 0.5005 0.2580 0.8714
Se4 0.0030 0.2523 0.6209
Se5 0.0005 0.2580 0.1286
Se6 0.9995 0.7420 0.8714
Se7 0.9970 0.7477 0.3791
Se8 0.4970 0.7477 0.6209
Ce1 0.7500 0.0000 0.8771
Ce2 0.2500 0.0000 0.1229
Y1 0.2500 0.0000 0.6287
Y2 0.2500 0.5000 0.3738
Y3 0.7500 0.0000 0.3713
Y4 0.2500 0.5000 0.8758
Y5 0.7500 0.5000 0.6262
Y6 0.7500 0.5000 0.1242
# - total energy (Ha/atom) = -0.246
# - distance to the lowest polymorph of the same formula (eV per atom) = 0.0000
# - formation energy without anion corrections (meV per atom) = -1785
# - total moment (μB per formula unit) = 1.1
# - calculated volume (Å³/cell) = 395

***

Which of these has the lowest calculated volume?
AlCuP2